No. 1
Below is crystalline NaLiAsS3 at its relaxed geometry, with properties calculated at the GGA-PBE level.

Lattice parameters (Å, degrees): 7.200 3.526 10.420 90.00 102.90 90.00
Space group P2_1/m (No. 11)
Asymmetric unit:
1 Na 0.149 0.250 0.169
2 Li 0.145 0.750 0.563
3 As 0.315 0.250 0.814
4 S 0.017 0.250 0.676
5 S 0.251 0.750 0.967
6 S 0.459 0.750 0.698

Summary:
Density of states at the Fermi level: 0.071 states/eV per atom
E_tot: -23.8 eV/f.u.

***

No. 2
Below is crystalline TbNd3 at its relaxed geometry, with properties calculated at the GGA-PBE level.

Lattice parameters (Å, degrees): 3.686 11.824 6.373 90.00 90.00 90.00
Space group Imm2 (No. 44)
Asymmetric unit:
1 Tb 0.000 0.000 0.000
2 Nd 0.000 0.251 0.670
3 Nd 0.000 0.500 0.001

Summary:
Density of states at the Fermi level: 1.727 states/eV per atom
Formation energy: 0.0295 eV per atom
E_tot: -18.8 eV/f.u.

***

No. 3
Below is crystalline La2BeTl at its relaxed geometry, with properties calculated at the GGA-PBE level.

Lattice parameters (Å, degrees): 4.5158 4.5158 17.7765 90.00 90.00 120.00
Space group R3m (No. 160, hexagonal axes)
Asymmetric unit:
1 La 0.0000 0.0000 0.0000
2 La 0.0000 0.0000 0.2221
3 Be 0.0000 0.0000 0.7973
4 Tl 0.0000 0.0000 0.4413

Summary:
Density of states at the Fermi level: 0.659 states/eV per atom
Formation energy: 0.0100 eV per atom
E_tot: -15.9 eV/f.u.

***

No. 4
Below is crystalline KY2Cr at its relaxed geometry, with properties calculated at the GGA-PBE level.

Lattice parameters (Å, degrees): 10.541 3.536 8.411 90.00 107.71 90.00
Space group Cm (No. 8)
Asymmetric unit:
1 K 0.000 0.000 0.000
2 Y 0.116 0.500 0.598
3 Y 0.329 0.500 0.349
4 Cr 0.352 0.000 0.627

Summary:
Density of states at the Fermi level: 1.026 states/eV per atom
Formation energy: 0.6774 eV per atom
E_tot: -20.9 eV/f.u.

***

No. 5
Below is crystalline PuMgPd4 at its relaxed geometry, with properties calculated at the GGA-PBE level.

Lattice parameters (Å, degrees): 7.605 7.605 7.605 90.00 90.00 90.00
Space group F-43m (No. 216)
Asymmetric unit:
1 Pu 0.000 0.000 0.000
2 Mg 0.250 0.250 0.750
3 Pd 0.125 0.125 0.375

Summary:
Density of states at the Fermi level: 3.222 states/eV per atom
Formation energy: -0.4852 eV per atom
E_tot: -39.6 eV/f.u.

***

No. 6
Below is crystalline La2Al3Ag4Sn at its relaxed geometry, with properties calculated at the GGA-PBE level.

Lattice parameters (Å, degrees): 4.508 4.508 11.052 90.00 90.00 90.00
Space group P-4m2 (No. 115)
Asymmetric unit:
1 La 0.000 0.500 0.243
2 Al 0.000 0.500 0.875
3 Al 0.500 0.500 0.500
4 Ag 0.000 0.000 0.000
5 Ag 0.000 0.500 0.645
6 Ag 0.500 0.500 0.000
7 Sn 0.000 0.000 0.500

Summary:
Density of states at the Fermi level: 0.755 states/eV per atom
Formation energy: -0.3597 eV per atom
E_tot: -40.1 eV/f.u.

***

No. 7
Below is crystalline DyTh2Fe at its relaxed geometry, with properties calculated at the GGA-PBE level.

Lattice parameters (Å, degrees): 3.697 11.694 9.737 90.00 90.00 90.00
Space group Cmcm (No. 63)
Asymmetric unit:
1 Dy 0.000 0.088 0.250
2 Th 0.000 0.361 0.070
3 Fe 0.000 0.198 0.750

Summary:
Density of states at the Fermi level: 1.135 states/eV per atom
Formation energy: -0.0576 eV per atom
E_tot: -28.1 eV/f.u.

***

No. 8
Below is crystalline K2NbBrCl6 at its relaxed geometry, with properties calculated at the GGA-PBE level.

Lattice parameters (Å, degrees): 6.587 7.394 9.336 73.24 89.60 67.99
Space group P1 (No. 1)
Asymmetric unit:
1 K 0.000 0.000 0.000
2 K 0.430 0.171 0.583
3 Nb 0.323 0.342 0.107
4 Br 0.940 0.144 0.647
5 Cl 0.175 0.551 0.266
6 Cl 0.253 0.068 0.279
7 Cl 0.403 0.604 0.935
8 Cl 0.469 0.119 0.950
9 Cl 0.678 0.208 0.243
10 Cl 0.973 0.466 0.969

Summary:
E_tot: -39.6 eV/f.u.

***

No. 9
Below is crystalline La2MoOs2 at its relaxed geometry, with properties calculated at the GGA-PBE level.

Lattice parameters (Å, degrees): 6.683 6.683 5.040 90.00 90.00 90.00
Space group P4/mbm (No. 127)
Asymmetric unit:
1 La 0.182 0.318 0.000
2 Mo 0.000 0.000 0.500
3 Os 0.132 0.632 0.500

Summary:
Density of states at the Fermi level: 1.056 states/eV per atom
Formation energy: 0.1563 eV per atom
E_tot: -42.4 eV/f.u.

***

No. 10
Below is crystalline CaTc2Pb at its relaxed geometry, with properties calculated at the GGA-PBE level.

Lattice parameters (Å, degrees): 5.232 3.044 5.279 90.00 112.30 90.00
Space group P2/m (No. 10)
Asymmetric unit:
1 Ca 0.000 0.000 0.000
2 Tc 0.500 0.000 0.500
3 Tc 0.500 0.500 0.000
4 Pb 0.000 0.500 0.500

Summary:
Density of states at the Fermi level: 1.294 states/eV per atom
Formation energy: 0.7121 eV per atom
E_tot: -23.6 eV/f.u.

***

No. 11
Below is crystalline TiRhAu2Cl at its relaxed geometry, with properties calculated at the GGA-PBE level.

Lattice parameters (Å, degrees): 5.110 5.110 4.432 90.00 90.00 90.00
Space group P4/mmm (No. 123)
Asymmetric unit:
1 Ti 0.000 0.000 0.000
2 Rh 0.500 0.500 0.500
3 Au 0.000 0.500 0.500
4 Cl 0.500 0.500 0.000

Summary:
Density of states at the Fermi level: 1.361 states/eV per atom
E_tot: -20.0 eV/f.u.

***

No. 12
Below is crystalline DyHoHg6 at its relaxed geometry, with properties calculated at the GGA-PBE level.

Lattice parameters (Å, degrees): 5.025 6.628 11.495 90.00 90.00 90.00
Space group Amm2 (No. 38)
Asymmetric unit:
1 Dy 0.000 0.000 0.000
2 Ho 0.500 0.000 0.334
3 Hg 0.000 0.000 0.500
4 Hg 0.000 0.250 0.250
5 Hg 0.500 0.000 0.833
6 Hg 0.500 0.249 0.584

Summary:
Density of states at the Fermi level: 0.736 states/eV per atom
Formation energy: -0.3385 eV per atom
E_tot: -13.7 eV/f.u.